BaMg2Ni | Alexandria | PBE | optimized geometry; calculated volume = 97.1 Å³/cell; DFT formation energy = 72 meV/atom; crystal system = tetragonal; spin magnetization = 0.0 μB per formula unit; SG = P4/mmm, No. 123
1.0
3.3571 0.0000 0.0000
0.0000 3.3588 0.0000
0.0000 0.0000 8.6150
Ni Mg Ba
1 2 1
Direct
0.5000 0.5000 0.2500
0.0000 0.0000 0.4136
0.0000 0.0000 0.0864
0.5000 0.5000 0.7500